Crystalline RbPa3Re4N12 at its relaxed geometry, computed with PBE.

Cell lengths 7.3485, 7.3485, 7.3485 Å; angles 101.91, 101.91, 101.91 degrees
Fractional positions:
Rb: 0.0000 0.0000 0.0000
Pa: 0.5635 0.4365 0.0000
Pa: 0.4365 0.0000 0.5635
Pa: 0.0000 0.5635 0.4365
Re: 0.9379 0.0621 0.5000
Re: 0.0621 0.5000 0.9379
Re: 0.5000 0.9379 0.0621
Re: 0.5000 0.5000 0.5000
N: 0.5000 0.3408 0.6592
N: 0.9014 0.5000 0.0986
N: 0.0986 0.9014 0.5000
N: 0.5000 0.0986 0.9014
N: 0.3866 0.9792 0.2555
N: 0.2555 0.3866 0.9792
N: 0.9792 0.2555 0.3866
N: 0.6134 0.7445 0.0208
N: 0.0208 0.6134 0.7445
N: 0.7445 0.0208 0.6134
N: 0.6592 0.5000 0.3408
N: 0.3408 0.6592 0.5000

Summary:
The calculation puts the density of states at the Fermi level at 6.9 states/eV per cell. As for the energy relative to the elements, uncorrected: -0.39 eV per atom. Its space group is R32, No. 155. The value obtained for the total magnetization is 0.000 μB/f.u.